VASP calculation (PBE-GGA) on K3Np3CdTe8 after structural relaxation.

## Properties
As for the space group: C2/m, No. 12. As for the size of the total moment: 10.000 μB per formula unit. For the energy relative to the elements, uncorrected, the calculation gives -0.747 eV per atom.

```
K3Np3CdTe8
1.0
7.7349 -4.4531 0.0000
7.7349 4.4531 0.0000
-5.1697 0.0000 8.3271
K Np Cd Te
3 3 1 8
direct
0.0000 0.0000 0.0000 K
0.0000 0.5000 0.0000 K
0.5000 0.0000 0.0000 K
0.0000 0.5000 0.5000 Np
0.5000 0.0000 0.5000 Np
0.5000 0.5000 0.5000 Np
0.0000 0.0000 0.5000 Cd
0.2367 0.7306 0.7042 Te
0.2396 0.2396 0.7061 Te
0.2637 0.2637 0.2908 Te
0.2694 0.7633 0.2958 Te
0.7306 0.2367 0.7042 Te
0.7363 0.7363 0.7092 Te
0.7604 0.7604 0.2939 Te
0.7633 0.2694 0.2958 Te
```



VASP calculation (PBE-GGA) on Tl7In2Bi2 after structural relaxation.

## Properties
As for the space group: C2/m, No. 12. As for the size of the total moment: 0.000 μB per formula unit. As for the formation energy from the elements: 2.4 kJ/mol of atoms. As for the energy above the most stable polymorph in this dataset: 0.008 eV/atom.

```
Tl7In2Bi2
1.0
4.5256 -5.2739 0.0000
4.5256 5.2739 0.0000
-2.1204 0.0000 7.4418
Tl In Bi
7 2 2
direct
0.0000 0.0000 0.0000 Tl
0.1005 0.5379 0.8258 Tl
0.1887 0.1887 0.4850 Tl
0.4621 0.8995 0.1742 Tl
0.5379 0.1005 0.8258 Tl
0.8113 0.8113 0.5150 Tl
0.8995 0.4621 0.1742 Tl
0.2846 0.7154 0.5000 In
0.7154 0.2846 0.5000 In
0.4011 0.4011 0.1825 Bi
0.5989 0.5989 0.8175 Bi
```



VASP calculation (PBE-GGA) on SrPt2Rh2 after structural relaxation.

## Properties
As for the space group: P4/mbm, No. 127. As for the size of the total moment: 0.000 μB per formula unit. As for the formation energy from the elements: -12.3 kJ/mol of atoms. As for the energy above the most stable polymorph in this dataset: 0.047 eV/atom.

```
SrPt2Rh2
1.0
7.9233 0.0000 0.0000
0.0000 7.9233 0.0000
0.0000 0.0000 2.8424
Sr Pt Rh
2 4 4
direct
0.0000 0.0000 0.0000 Sr
0.5000 0.5000 0.0000 Sr
0.1229 0.3771 0.0000 Pt
0.3771 0.8771 0.0000 Pt
0.6229 0.1229 0.0000 Pt
0.8771 0.6229 0.0000 Pt
0.1773 0.6773 0.5000 Rh
0.3227 0.1773 0.5000 Rh
0.6773 0.8227 0.5000 Rh
0.8227 0.3227 0.5000 Rh
```



VASP calculation (PBE-GGA) on K2HfW after structural relaxation.

## Properties
As for the space group: I-42d, No. 122. As for the size of the total moment: 2.713 μB per formula unit. As for the formation energy from the elements: 173.3 kJ/mol of atoms. As for the energy above the most stable polymorph in this dataset: 0.000 eV/atom.

```
K2HfW
1.0
-6.2443 6.2443 2.4735
6.2443 -6.2443 2.4735
6.2443 6.2443 -2.4735
K Hf W
4 2 2
direct
0.3750 0.2352 0.3602 K
0.7648 0.1250 0.1398 K
0.8750 0.0148 0.6398 K
0.9852 0.6250 0.8602 K
0.2500 0.7500 0.5000 Hf
0.5000 0.5000 0.0000 Hf
0.0000 0.0000 0.0000 W
0.7500 0.2500 0.5000 W
```



Number 1: E_tot -0.3889 Ry/atom. Number 2: E_tot -0.1973 Ry/atom. Number 3: E_tot -0.4278 Ry/atom. Number 4: E_tot -0.3293 Ry/atom.